Record 1
Computed, not measured: a relaxed structure of CoRe2Ag at the PBE level of DFT.

spin magnetization: 0.17 μB per atom
mass density: 15.6 g/cm3
SG: I-4m2
ΔE_f: 0.522 eV/atom
offset from the most stable computed form: 232.3 meV/atom

Cell lengths 4.6540, 4.6540, 4.6540 Å; angles 130.25, 130.25, 73.01 degrees
Last column: nearest neighbours and their distance in Å.
Fractional coordinates of all 4 atoms:
Co  0.0000  0.0000  0.0000  8 Re 2.71-2.77, 4 Ag 2.71
Re  0.5000  0.5000  0.0000  4 Re 2.71, 4 Ag 2.71, 4 Co 2.77
Re  0.7500  0.2500  0.5000  4 Re 2.71, 4 Co 2.71, 4 Ag 2.77
Ag  0.2500  0.7500  0.5000  8 Re 2.71-2.77, 4 Co 2.71



Record 2
Computed, not measured: a relaxed structure of Co2ReAg2 at the PBE level of DFT.

spin magnetization: 0.24 μB per atom
mass density: 11.5 g/cm3
SG: P4/mbm
ΔE_f: 0.681 eV/atom
offset from the most stable computed form: 0.0 meV/atom

Cell lengths 5.9733, 5.9733, 4.2108 Å; angles 90.00, 90.00, 90.00 degrees
Last column: nearest neighbours and their distance in Å.
Fractional coordinates of all 10 atoms:
Co  0.1309  0.3691  0.0000  1 Co 2.21, 2 Re 2.34
Co  0.3691  0.8691  0.0000  1 Co 2.21, 2 Re 2.34
Co  0.6309  0.1309  0.0000  1 Co 2.21, 2 Re 2.34
Co  0.8691  0.6309  0.0000  1 Co 2.21, 2 Re 2.34
Re  0.0000  0.0000  0.0000  4 Co 2.34
Re  0.5000  0.5000  0.0000  4 Co 2.34
Ag  0.1736  0.6736  0.5000  6 Co 2.68-2.79, 1 Ag 2.93
Ag  0.3264  0.1736  0.5000  6 Co 2.68-2.79, 1 Ag 2.93
Ag  0.6736  0.8264  0.5000  6 Co 2.68-2.79, 1 Ag 2.93
Ag  0.8264  0.3264  0.5000  6 Co 2.68-2.79, 1 Ag 2.93



Record 3
Computed, not measured: a relaxed structure of Co2ReAg at the PBE level of DFT.

spin magnetization: 0.14 μB per atom
mass density: 12.7 g/cm3
SG: Pmmm
ΔE_f: 0.322 eV/atom
offset from the most stable computed form: 89.9 meV/atom

Cell lengths 2.6926, 3.4979, 5.7007 Å; angles 90.00, 90.00, 90.00 degrees
Last column: nearest neighbours and their distance in Å.
Fractional coordinates of all 4 atoms:
Co  0.0000  0.0000  0.2180  3 Co 2.49-2.69, 4 Re 2.53, 4 Ag 2.73
Co  0.0000  0.0000  0.7820  3 Co 2.49-2.69, 4 Re 2.53, 4 Ag 2.73
Re  0.5000  0.5000  0.0000  8 Co 2.53, 2 Re 2.69
Ag  0.5000  0.5000  0.5000  2 Ag 2.69, 8 Co 2.73, 2 Re 2.85



Record 4
Computed, not measured: a relaxed structure of CoReAg2 at the PBE level of DFT.

spin magnetization: 0.61 μB per atom
mass density: 12.4 g/cm3
SG: R-3m
ΔE_f: 0.587 eV/atom
offset from the most stable computed form: 289.3 meV/atom

Cell lengths 9.5601, 9.5601, 9.5601 Å; angles 16.54, 16.54, 16.54 degrees
Last column: nearest neighbours and their distance in Å.
Fractional coordinates of all 4 atoms:
Co  0.0000  0.0000  0.0000  6 Co 2.75, 6 Ag 2.77
Re  0.5000  0.5000  0.5000  6 Re 2.75, 6 Ag 2.92
Ag  0.2532  0.2532  0.2532  6 Ag 2.75, 3 Co 2.77, 3 Re 2.92
Ag  0.7468  0.7468  0.7468  6 Ag 2.75, 3 Co 2.77, 3 Re 2.92



Record 5
Computed, not measured: a relaxed structure of Co2ReAg at the PBE level of DFT.

spin magnetization: 0.53 μB per atom
mass density: 12.9 g/cm3
SG: Fm-3m
ΔE_f: 0.493 eV/atom
offset from the most stable computed form: 261.6 meV/atom

Cell lengths 4.2188, 4.2188, 4.2188 Å; angles 60.00, 60.00, 60.00 degrees
Last column: nearest neighbours and their distance in Å.
Fractional coordinates of all 4 atoms:
Co  0.2500  0.2500  0.2500  4 Re 2.58, 4 Ag 2.58
Co  0.7500  0.7500  0.7500  4 Re 2.58, 4 Ag 2.58
Re  0.0000  0.0000  0.0000  8 Co 2.58
Ag  0.5000  0.5000  0.5000  8 Co 2.58



Record 6
Computed, not measured: a relaxed structure of CoRe2Ag at the PBE level of DFT.

spin magnetization: 0.06 μB per atom
mass density: 15.4 g/cm3
SG: Cm
ΔE_f: 0.471 eV/atom
offset from the most stable computed form: 180.6 meV/atom

Cell lengths 4.7573, 4.7573, 4.8566 Å; angles 99.81, 99.81, 32.51 degrees
Last column: nearest neighbours and their distance in Å.
Fractional coordinates of all 4 atoms:
Co  0.0000  0.0000  0.0000  4 Re 2.53-2.64, 2 Co 2.66, 3 Ag 2.69-2.79
Re  0.2785  0.2785  0.7592  2 Co 2.53, 5 Re 2.62-2.76, 4 Ag 2.75-2.81
Re  0.5201  0.5201  0.5381  5 Re 2.62-2.76, 4 Co 2.64-2.91, 3 Ag 2.80-2.88
Ag  0.7583  0.7583  0.2455  2 Ag 2.66, 3 Co 2.69-2.79, 7 Re 2.75-2.88